(1)
! Ho3OsBr3 (GGA-PBE, relaxed); values from VASP
! * space-group type: P2_1/m, No. 11
! * ρ: 7399 kg/m³
! * raw formation energy: -1.2163 eV/atom
&SYSTEM
  ibrav = 0, nat = 14, ntyp = 3
/
ATOMIC_SPECIES
Br 79.90 Br.upf
Ho 164.93 Ho.upf
Os 190.23 Os.upf
ATOMIC_POSITIONS angstrom
Br 3.1142 1.1256 1.1345
Br 3.1142 4.8700 7.2354
Br 1.0381 2.9580 9.9701
Br 3.1142 5.6709 1.4889
Br 1.0381 3.7589 4.2236
Br 1.0381 7.5032 10.3245
Ho 3.1142 1.3530 4.1977
Ho 1.0381 2.2906 7.0047
Ho 3.1142 6.3382 4.4543
Ho 1.0381 7.6759 1.7961
Ho 1.0381 7.2758 7.2613
Ho 3.1142 0.9529 9.6629
Os 3.1142 0.4721 6.9526
Os 1.0381 8.1567 4.5065
CELL_PARAMETERS angstrom
4.1523 0.0000 0.0000
0.0000 8.4670 -0.3412
0.0000 0.1619 11.8002

=====

(2)
! Ho2OsBr (GGA-PBE, relaxed); values from VASP
! * energy above the lowest structure with this stoichiometry: 0.095 eV/atom
! * space-group type: R-3m, No. 166
! * ρ: 9493 kg/m³
! * raw formation energy: -0.6148 eV/atom
&SYSTEM
  ibrav = 0, nat = 4, ntyp = 3
/
ATOMIC_SPECIES
Ho 164.93 Ho.upf
Br 79.90 Br.upf
Os 190.23 Os.upf
ATOMIC_POSITIONS angstrom
Ho 5.9816 3.4535 6.1353
Ho 1.9939 1.1512 1.4857
Br 3.9877 2.3023 3.8105
Os 0.0000 0.0000 0.0000
CELL_PARAMETERS angstrom
3.9877 0.0000 0.0000
1.9939 3.4535 0.0000
1.9939 1.1512 7.6210

=====

(3)
! HoOsBr (GGA-PBE, relaxed); values from VASP
! * space-group type: R-3m, No. 166
! * ρ: 8558 kg/m³
! * raw formation energy: -0.9648 eV/atom
&SYSTEM
  ibrav = 0, nat = 6, ntyp = 3
/
ATOMIC_SPECIES
Ho 164.93 Ho.upf
Os 190.23 Os.upf
Br 79.90 Br.upf
ATOMIC_POSITIONS angstrom
Ho 4.1639 2.4040 7.6213
Ho 4.1639 2.4040 3.6226
Os 2.0820 1.2020 5.7639
Os 6.2459 3.6061 5.4800
Br 2.0820 1.2020 1.8136
Br 6.2459 3.6061 9.4303
CELL_PARAMETERS angstrom
4.1639 0.0000 0.0000
2.0820 3.6061 0.0000
2.0820 1.2020 11.2440

=====

(4)
! Ho2OsBr (GGA-PBE, relaxed); values from VASP
! * energy above the lowest structure with this stoichiometry: 0.000 eV/atom
! * space-group type: P4/mmm, No. 123
! * ρ: 10693 kg/m³
! * raw formation energy: -0.7099 eV/atom
&SYSTEM
  ibrav = 0, nat = 4, ntyp = 3
/
ATOMIC_SPECIES
Ho 164.93 Ho.upf
Br 79.90 Br.upf
Os 190.23 Os.upf
ATOMIC_POSITIONS angstrom
Ho 0.0000 0.0000 6.4926
Ho 0.0000 0.0000 1.6686
Br 1.6894 1.6894 4.0806
Os 1.6894 1.6894 0.0000
CELL_PARAMETERS angstrom
3.3789 0.0000 0.0000
0.0000 3.3789 0.0000
0.0000 0.0000 8.1612

=====

(5)
! Ho4PBr5 (GGA-PBE, relaxed); values from VASP
! * space-group type: C2/m, No. 12
! * ρ: 6367 kg/m³
! * raw formation energy: -1.5875 eV/atom
&SYSTEM
  ibrav = 0, nat = 10, ntyp = 3
/
ATOMIC_SPECIES
Ho 164.93 Ho.upf
Br 79.90 Br.upf
P 30.97 P.upf
ATOMIC_POSITIONS angstrom
Ho -0.3089 -6.1976 -1.7583
Ho -4.4317 -6.9963 2.7222
Ho -7.3283 -0.8556 5.0575
Ho -3.2055 -0.0569 0.5770
Br -2.3201 -6.4540 0.4729
Br -2.0502 -2.5026 1.5097
Br -5.3171 -0.5992 2.8263
Br -1.6571 -3.5190 -2.3893
Br -5.5871 -4.5506 1.7894
P -1.4610 0.4324 -1.2673
CELL_PARAMETERS angstrom
-2.9220 0.8647 -2.5346
-0.3922 -7.9026 -2.2440
-4.3230 -0.0152 8.0777

=====

(6)
! Ho6P5Br (GGA-PBE, relaxed); values from VASP
! * space-group type: C2/m, No. 12
! * ρ: 7446 kg/m³
! * raw formation energy: -1.6003 eV/atom
&SYSTEM
  ibrav = 0, nat = 12, ntyp = 3
/
ATOMIC_SPECIES
Ho 164.93 Ho.upf
Br 79.90 Br.upf
P 30.97 P.upf
ATOMIC_POSITIONS angstrom
Ho -1.7482 -4.3007 1.3434
Ho -2.1885 -0.4445 2.0011
Ho -1.2162 -2.0375 -1.8333
Ho -5.2123 -2.7316 2.1846
Ho -4.6803 -0.4685 -0.9921
Ho -4.2400 -4.3246 -1.6498
Br 0.0000 0.0000 0.0000
P -3.2143 -2.3846 0.1756
P -2.2831 -3.9102 -3.4965
P -3.6377 1.5703 0.6656
P -2.7191 0.0653 -2.9570
P -4.1454 -0.8590 3.8478
CELL_PARAMETERS angstrom
-4.5492 3.0638 4.2605
-1.8076 -1.4282 -6.5519
-0.0716 -6.4047 2.6426

=====

(7)
! HoPaBr2 (GGA-PBE, relaxed); values from VASP
! * space-group type: R-3m, No. 166
! * ρ: 8764 kg/m³
! * raw formation energy: -0.6975 eV/atom
&SYSTEM
  ibrav = 0, nat = 4, ntyp = 3
/
ATOMIC_SPECIES
Br 79.90 Br.upf
Pa 231.04 Pa.upf
Ho 164.93 Ho.upf
ATOMIC_POSITIONS angstrom
Br -5.9133 0.8523 2.9866
Br -1.9624 0.4645 7.2371
Pa 0.0000 0.0000 0.0000
Ho -3.9378 0.6584 5.1118
CELL_PARAMETERS angstrom
-2.7377 2.0903 -0.0566
-3.1797 -1.3247 0.0427
-1.9583 0.5513 10.2376

=====

(8)
! HoPbBr5 (GGA-PBE, relaxed); values from VASP
! * space-group type: C2/c, No. 15
! * ρ: 4558 kg/m³
! * raw formation energy: -1.4005 eV/atom
&SYSTEM
  ibrav = 0, nat = 14, ntyp = 3
/
ATOMIC_SPECIES
Br 79.90 Br.upf
Ho 164.93 Ho.upf
Pb 207.20 Pb.upf
ATOMIC_POSITIONS angstrom
Br -8.3059 -2.2259 0.1550
Br -1.9684 0.2604 2.0714
Br -4.7848 3.1236 2.7114
Br -4.3932 -3.6247 0.4111
Br 0.3030 3.8561 7.8826
Br -3.6097 5.2549 7.6265
Br -5.8102 -0.6762 2.5287
Br -2.1927 2.3064 5.5089
Br -6.0345 1.3697 5.9662
Br -3.2181 -1.4935 5.3262
Ho 0.0000 0.0000 0.0000
Ho -4.0014 0.8151 4.0188
Pb -0.5055 1.0827 7.5386
Pb -7.4974 0.5475 0.4990
CELL_PARAMETERS angstrom
-6.1922 3.3035 -2.8445
-4.0893 -6.2618 1.1893
2.2786 4.5885 9.6928

=====

(9)
! RbHoPbBr6 (GGA-PBE, relaxed); values from VASP
! * space-group type: P-31c, No. 163
! * ρ: 4110 kg/m³
! * raw formation energy: -1.5608 eV/atom
&SYSTEM
  ibrav = 0, nat = 18, ntyp = 4
/
ATOMIC_SPECIES
Rb 85.47 Rb.upf
Br 79.90 Br.upf
Ho 164.93 Ho.upf
Pb 207.20 Pb.upf
ATOMIC_POSITIONS angstrom
Rb 0.0000 0.0000 0.0000
Rb -3.9730 -6.1304 1.4143
Br -2.5239 -1.3570 -2.0505
Br -3.5116 -9.8078 -2.3080
Br -2.7323 -9.4262 1.5353
Br -3.1340 -13.9239 -1.7837
Br -5.3410 -3.7584 -3.0683
Br -2.9256 -5.8547 -5.3696
Br -0.3169 -11.5225 -0.7660
Br -2.8365 -13.2247 2.0824
Br -5.8588 -11.7376 0.0383
Br -2.8213 -2.0562 -5.9166
Br -2.1462 -5.4731 -1.5262
Br 0.2010 -3.5433 -3.8725
Ho -2.5928 -3.6738 -3.6340
Ho -3.0650 -11.6071 -0.2003
Pb 0.9079 -5.4767 -1.6146
Pb -6.5658 -9.8042 -2.2196
CELL_PARAMETERS angstrom
-4.1071 1.1943 -6.3605
6.3952 -4.2143 -0.3024
-7.9459 -12.2609 2.8287

=====

(10)
! HoPdBr (GGA-PBE, relaxed); values from VASP
! * space-group type: Amm2, No. 38
! * ρ: 8055 kg/m³
! * raw formation energy: -0.6884 eV/atom
&SYSTEM
  ibrav = 0, nat = 6, ntyp = 3
/
ATOMIC_SPECIES
Pd 106.42 Pd.upf
Ho 164.93 Ho.upf
Br 79.90 Br.upf
ATOMIC_POSITIONS angstrom
Pd 1.9230 0.6002 0.0000
Pd 0.0000 1.8887 5.6122
Ho 1.9230 0.7666 7.4027
Ho 1.9230 0.7666 3.8216
Br 0.0000 1.9027 1.8436
Br 0.0000 1.9027 9.3807
CELL_PARAMETERS angstrom
3.8460 0.0000 0.0000
-1.9230 3.3548 0.0000
0.0000 0.0000 11.2243

=====

(11)
! Ho2PdBr2 (GGA-PBE, relaxed); values from VASP
! * space-group type: R-3m, No. 166
! * ρ: 6525 kg/m³
! * raw formation energy: -1.3250 eV/atom
&SYSTEM
  ibrav = 0, nat = 5, ntyp = 3
/
ATOMIC_SPECIES
Br 79.90 Br.upf
Ho 164.93 Ho.upf
Pd 106.42 Pd.upf
ATOMIC_POSITIONS angstrom
Br 1.2753 0.7531 3.9797
Br 4.3910 2.5929 8.8840
Ho 3.5440 2.0928 2.5882
Ho 2.1223 1.2532 10.2755
Pd 0.0000 0.0000 0.0000
CELL_PARAMETERS angstrom
3.8897 0.0000 0.7194
1.8783 3.4061 0.7194
-0.1017 -0.0600 11.4249

=====

(12)
! Ho3PdBr3 (GGA-PBE, relaxed); values from VASP
! * space-group type: R-3, No. 148
! * ρ: 6361 kg/m³
! * raw formation energy: -1.2781 eV/atom
&SYSTEM
  ibrav = 0, nat = 14, ntyp = 3
/
ATOMIC_SPECIES
Ho 164.93 Ho.upf
Pd 106.42 Pd.upf
Br 79.90 Br.upf
ATOMIC_POSITIONS angstrom
Ho 6.6896 5.4551 4.9802
Ho 5.5304 2.0905 12.2774
Ho 6.9146 1.6180 4.2915
Ho 2.1985 4.0061 11.5865
Ho 3.5826 3.5336 3.6007
Ho 2.4235 0.1689 10.8978
Pd 6.0027 3.7045 14.4978
Pd 3.1104 1.9195 1.3803
Br 3.9528 5.0986 6.0836
Br 4.9168 4.3769 10.4801
Br 4.1962 1.2472 5.3979
Br 1.8080 2.4325 9.0954
Br 5.1602 0.5255 9.7945
Br 7.3050 3.1916 6.7827
CELL_PARAMETERS angstrom
6.4425 0.0000 2.0704
2.8886 5.7586 2.0704
-0.2180 -0.1346 11.7373